Entry 1:
DFT (PBE) results for a relaxed structure of RbGeAs2.

The value obtained for the size of the total moment is 0.00 μB/f.u. Its electronic total energy is -3.77 eV/atom. The density of states at the Fermi level is 1.31 states/eV/f.u.

The structure belongs to space group P4/mmm (No. 123); the cell edges are 3.925, 3.925 and 7.110 Å and the angles 90.00°, 90.00° and 90.00°. The asymmetric unit holds Rb at (0.000, 0.000, 0.000), Ge at (0.000, 0.000, 0.500) and As at (0.500, 0.500, 0.334).

=====

Entry 2:
DFT (PBE) results for a relaxed structure of PmErAs2.

The energy relative to the lowest polymorph listed for this composition is 481.3 meV/atom. The value obtained for the size of the total moment is 0.00 μB/f.u. Its electronic total energy is -5.69 eV/atom. The density of states at the Fermi level is 1.59 states/eV/f.u.

The structure belongs to space group P4/mmm (No. 123); the cell edges are 5.272, 5.272 and 3.341 Å and the angles 90.00°, 90.00° and 90.00°. The asymmetric unit holds Pm at (0.000, 0.000, 0.000), Er at (0.500, 0.500, 0.000) and As at (0.000, 0.500, 0.500).

=====

Entry 3:
DFT (PBE) results for a relaxed structure of Tl2TePb.

The energy relative to the lowest polymorph listed for this composition is 106.7 meV/atom. The value obtained for the size of the total moment is 0.00 μB/f.u. Its electronic total energy is -2.94 eV/atom. The density of states at the Fermi level is 1.80 states/eV/f.u.

The structure belongs to space group F-43m (No. 216); the cell edges are 7.954, 7.954 and 7.954 Å and the angles 90.00°, 90.00° and 90.00°. The asymmetric unit holds Tl at (0.000, 0.000, 0.000), Tl at (0.250, 0.250, 0.250), Te at (0.000, 0.000, 0.500) and Pb at (0.250, 0.250, 0.750).

=====

Entry 4:
DFT (PBE) results for a relaxed structure of Hg2IrBr.

The energy relative to the lowest polymorph listed for this composition is 259.0 meV/atom. The value obtained for the size of the total moment is 0.00 μB/f.u. Its electronic total energy is -2.22 eV/atom. The density of states at the Fermi level is 1.16 states/eV/f.u.

The structure belongs to space group Cmmm (No. 65); the cell edges are 5.987, 8.268 and 3.308 Å and the angles 90.00°, 90.00° and 90.00°. The asymmetric unit holds Hg at (0.250, 0.250, 0.000), Ir at (0.000, 0.000, 0.500) and Br at (0.000, 0.500, 0.500).

=====

Entry 5:
DFT (PBE) results for a relaxed structure of Cu2Au.

The energy relative to the lowest polymorph listed for this composition is 71.2 meV/atom. The value obtained for the size of the total moment is 0.00 μB/f.u. Its electronic total energy is -3.79 eV/atom. The density of states at the Fermi level is 0.54 states/eV/f.u.

The structure belongs to space group P-62m (No. 189); the cell edges are 7.4331, 7.4331 and 2.7208 Å and the angles 90.00°, 90.00° and 120.00°. The asymmetric unit holds Cu at (0.0000, 0.3067, 0.0000), Cu at (0.0000, 0.6383, 0.5000), Au at (0.0000, 0.0000, 0.5000) and Au at (0.3333, 0.6667, 0.0000).

=====

Entry 6:
DFT (PBE) results for a relaxed structure of La2AlF.

The energy relative to the lowest polymorph listed for this composition is 0.0 meV/atom. The value obtained for the size of the total moment is 0.00 μB/f.u. Its electronic total energy is -5.19 eV/atom. The density of states at the Fermi level is 2.46 states/eV/f.u.

The structure belongs to space group R-3m (No. 166, hexagonal axes); the cell edges are 3.8787, 3.8787 and 22.7881 Å and the angles 90.00°, 90.00° and 120.00°. The asymmetric unit holds La at (0.0000, 0.0000, 0.2349), Al at (0.0000, 0.0000, 0.0000) and F at (0.0000, 0.0000, 0.5000).

=====

Copy entry 3 word for word.
DFT (PBE) results for a relaxed structure of Tl2TePb.

The energy relative to the lowest polymorph listed for this composition is 106.7 meV/atom. The value obtained for the size of the total moment is 0.00 μB/f.u. Its electronic total energy is -2.94 eV/atom. The density of states at the Fermi level is 1.80 states/eV/f.u.

The structure belongs to space group F-43m (No. 216); the cell edges are 7.954, 7.954 and 7.954 Å and the angles 90.00°, 90.00° and 90.00°. The asymmetric unit holds Tl at (0.000, 0.000, 0.000), Tl at (0.250, 0.250, 0.250), Te at (0.000, 0.000, 0.500) and Pb at (0.250, 0.250, 0.750).